Compound: CuB3C
Source: Alexandria via LeMat-Bulk
Functional: PBE
Structure: relaxed

## Properties
As for the electronic total energy: -4.9581 eV/atom. Its space group is Pm-3m, No. 221. The formation energy from the elements is 8.56 eV/f.u.

Unit cell a=3.426 b=3.426 c=3.426 alpha=90.00 beta=90.00 gamma=90.00
Sites, in units of the cell vectors:
Cu  0.000  0.000  0.000
B  0.000  0.500  0.500
B  0.500  0.000  0.500
B  0.500  0.500  0.000
C  0.500  0.500  0.500

***

Compound: Cu2BC
Source: Alexandria via LeMat-Bulk
Functional: PBE
Structure: relaxed

## Properties
As for the electronic total energy: -4.6205 eV/atom. Its space group is I-42d, No. 122. The formation energy from the elements is 5.61 eV/f.u.

Unit cell a=4.992 b=4.992 c=7.356 alpha=90.00 beta=90.00 gamma=90.00
Sites, in units of the cell vectors:
Cu  0.230  0.250  0.125
Cu  0.250  0.730  0.375
Cu  0.250  0.770  0.875
Cu  0.270  0.250  0.625
Cu  0.730  0.750  0.625
Cu  0.750  0.230  0.875
Cu  0.750  0.270  0.375
Cu  0.770  0.750  0.125
B  0.000  0.000  0.500
B  0.000  0.500  0.750
B  0.500  0.000  0.250
B  0.500  0.500  0.000
C  0.000  0.000  0.000
C  0.000  0.500  0.250
C  0.500  0.000  0.750
C  0.500  0.500  0.500